The following is a PBE calculation of a relaxed RbMgZnF6 crystal, from Alexandria via LeMat-Bulk.

Results
The calculation puts the energy relative to the elements, uncorrected at -2.595 eV per atom. As for the crystal system: orthorhombic.

The structure in POSCAR format:
```
RbMgZnF6
1.0
-6.207 0.932 -3.592
2.110 -5.173 -4.988
-0.168 -1.556 7.165
F Mg Rb Zn
12 2 2 2
Cartesian
-1.384 -4.465 1.233
-5.070 -0.628 1.318
-4.981 -0.015 -1.529
-1.716 -5.416 -1.294
0.717 -5.782 0.114
-2.548 -0.381 -0.121
-3.715 -3.118 -4.522
-1.282 -3.484 -3.114
-2.982 -2.313 1.699
0.805 -5.169 -2.733
-2.880 -1.332 -2.648
-0.549 -2.679 3.107
-0.084 -0.778 3.583
-3.187 -0.312 1.787
0.006 -2.158 -0.571
-4.270 -3.639 -0.844
-3.103 0.466 -1.796
-2.048 -2.120 -4.290
```